10
Lattice="-3.1960 3.1960 5.2066 3.1960 -3.1960 5.2066 3.1960 3.1960 -5.2066" Properties=species:S:1:pos:R:3 comment="PBE-GGA Cs2InClF6, relaxed" energy_ev_per_atom=-3.855 rho_g_cm3=4.138 sg="No. 139" pbc="T T T"
Cs 3.1960 0.0000 2.6033
Cs 0.0000 3.1960 2.6033
In 0.0000 0.0000 0.0000
Cl 0.0000 0.0000 5.2066
F 0.0000 0.0000 2.0668
F 1.5020 1.5020 0.0000
F 1.6939 -1.6939 5.2066
F -1.6939 1.6939 5.2066
F 1.6939 1.6939 5.2066
F 0.0000 0.0000 8.3465


12
Lattice="7.3624 0.0000 0.0000 0.0000 6.5225 0.0000 -1.1578 0.0000 8.2757" Properties=species:S:1:pos:R:3 comment="PBE-GGA CsIn2ClF2, relaxed" energy_ev_per_atom=-3.703 rho_g_cm3=3.644 sg="No. 11" pbc="T T T"
Cs 1.1360 1.6306 3.5514
Cs 5.0685 4.8918 4.7243
In 0.7074 3.2780 7.7323
In 0.7074 6.5057 7.7323
In 5.4972 0.0168 0.5434
In 5.4972 3.2444 0.5434
Cl 1.5092 4.8918 5.2935
Cl 4.6954 1.6306 2.9822
F -0.0444 1.6306 0.8144
F 0.0214 1.6306 6.2340
F 6.1831 4.8918 2.0418
F 6.2490 4.8918 7.4613


8
Lattice="2.6827 1.5489 11.3535 -2.6827 1.5489 11.3535 0.0000 -3.0978 11.3535" Properties=species:S:1:pos:R:3 comment="PBE-GGA CsInClF, relaxed" energy_ev_per_atom=-3.568 rho_g_cm3=3.545 sg="No. 166" pbc="T T T"
Cs 0.0000 0.0000 4.2477
Cs 0.0000 0.0000 29.8127
In 0.0000 0.0000 9.5709
In 0.0000 0.0000 24.4895
Cl 0.0000 0.0000 13.6944
Cl 0.0000 0.0000 20.3660
F 0.0000 0.0000 7.2404
F 0.0000 0.0000 26.8200


9
Lattice="-3.6936 3.6936 5.1828 3.6936 -3.6936 5.1828 3.6936 3.6936 -5.1828" Properties=species:S:1:pos:R:3 comment="PBE-GGA Cs2IrCl5F, relaxed" energy_ev_per_atom=-3.791 rho_g_cm3=3.841 sg="No. 107" pbc="T T T"
Cs 3.6936 0.0000 0.0000
Cs 0.0000 3.6936 0.0000
Ir 0.0000 0.0000 2.6249
Cl 2.0322 2.0322 -2.6038
Cl 1.6614 -1.6614 2.5790
Cl -1.6614 1.6614 2.5790
Cl 1.6614 1.6614 2.5790
Cl 0.0000 0.0000 4.9390
F 0.0000 0.0000 0.6395


11
Lattice="7.1085 0.0000 0.0000 -3.5543 6.1562 0.0000 0.0000 0.0000 7.1882" Properties=species:S:1:pos:R:3 comment="PBE-GGA Cs2KCl2F6, relaxed" energy_ev_per_atom=-3.070 rho_g_cm3=2.586 sg="No. 147" pbc="T T T"
Cs 0.0000 4.1041 2.1473
Cs 3.5543 2.0520 5.0409
K 0.0000 0.0000 0.0000
Cl 0.0000 4.1041 5.6962
Cl 3.5543 2.0520 1.4920
F -2.0977 4.5176 5.6319
F 0.6908 2.0806 5.6319
F 2.1473 0.4421 1.5563
F 1.4070 5.7140 5.6319
F 2.8635 4.0755 1.5563
F 5.6520 1.6385 1.5563


11
Lattice="-2.5672 2.5672 15.8806 2.5672 -2.5672 15.8806 2.5672 2.5672 -15.8806" Properties=species:S:1:pos:R:3 comment="PBE-GGA Cs2K4Cl3F2, relaxed" energy_ev_per_atom=-3.394 rho_g_cm3=2.247 sg="No. 139" pbc="T T T"
Cs 0.0000 0.0000 5.6427
Cs 0.0000 0.0000 26.1185
K 2.5672 0.0000 2.1632
K 2.5672 0.0000 13.7174
K 0.0000 2.5672 2.1632
K 0.0000 2.5672 13.7174
Cl 0.0000 0.0000 11.8261
Cl 0.0000 0.0000 15.8806
Cl 0.0000 0.0000 19.9351
F 0.0000 0.0000 2.5027
F 0.0000 0.0000 29.2585


10
Lattice="3.2811 1.8944 6.8972 -3.2811 1.8944 6.8972 0.0000 -3.7887 6.8972" Properties=species:S:1:pos:R:3 comment="PBE-GGA CsKCl2F6, relaxed" energy_ev_per_atom=-2.882 rho_g_cm3=2.304 sg="No. 148" pbc="T T T"
Cs 0.0000 0.0000 0.0000
K 0.0000 0.0000 10.3457
Cl 0.0000 0.0000 5.0213
Cl 0.0000 0.0000 15.6702
F -1.2862 -1.7462 8.7515
F -2.1553 0.2408 11.9400
F -0.8691 1.9869 8.7514
F 0.8691 -1.9869 11.9400
F 2.1553 -0.2408 8.7514
F 1.2862 1.7462 11.9400


12
Lattice="-3.1200 3.1200 5.6196 3.1200 -3.1200 5.6196 3.1200 3.1200 -5.6196" Properties=species:S:1:pos:R:3 comment="PBE-GGA CsKCl2F8, relaxed" energy_ev_per_atom=-3.165 rho_g_cm3=2.997 sg="No. 82" pbc="T T T"
Cs 0.0000 0.0000 0.0000
K 3.1200 0.0000 2.8098
Cl 0.0000 0.0000 5.6196
Cl 0.0000 3.1200 2.8098
F 3.9981 1.6137 -2.8513
F 3.1138 1.2861 0.0891
F -0.8781 1.5062 2.7683
F 1.8338 -0.0062 5.5305
F 1.2861 3.1261 -0.0891
F 1.6137 2.2418 2.8513
F 0.0062 1.8338 5.7087
F 1.5062 0.8781 8.4708


What did the second record say?
12
Lattice="7.3624 0.0000 0.0000 0.0000 6.5225 0.0000 -1.1578 0.0000 8.2757" Properties=species:S:1:pos:R:3 comment="PBE-GGA CsIn2ClF2, relaxed" energy_ev_per_atom=-3.703 rho_g_cm3=3.644 sg="No. 11" pbc="T T T"
Cs 1.1360 1.6306 3.5514
Cs 5.0685 4.8918 4.7243
In 0.7074 3.2780 7.7323
In 0.7074 6.5057 7.7323
In 5.4972 0.0168 0.5434
In 5.4972 3.2444 0.5434
Cl 1.5092 4.8918 5.2935
Cl 4.6954 1.6306 2.9822
F -0.0444 1.6306 0.8144
F 0.0214 1.6306 6.2340
F 6.1831 4.8918 2.0418
F 6.2490 4.8918 7.4613